## ScBeCo3 (PBE)

Data for crystalline ScBeCo3 at its relaxed geometry.

Summary:
Energy above the most stable polymorph in this dataset   0 meV/atom
Symmetry   Pm-3m, No. 221

```
data_ScBeCo3
_chemical_formula_sum 'Sc1 Be1 Co3'
_symmetry_space_group_name_H-M 'P 1'
_symmetry_Int_Tables_number 1
_cell_length_a 3.945
_cell_length_b 3.945
_cell_length_c 3.945
_cell_angle_alpha 90.00
_cell_angle_beta 90.00
_cell_angle_gamma 90.00
loop_
_symmetry_equiv_pos_as_xyz
'x,y,z'
loop_
_atom_site_label
_atom_site_type_symbol
_atom_site_fract_x
_atom_site_fract_y
_atom_site_fract_z
Co1 Co 0.500 0.000 0.000
Be1 Be 0.000 0.000 0.000
Sc1 Sc 0.500 0.500 0.500
Co2 Co 0.000 0.500 0.000
Co3 Co 0.000 0.000 0.500
```

## AcNd3DyY (PBE)

Data for crystalline AcNd3DyY at its relaxed geometry.

Summary:
Symmetry   P2_1/m, No. 11

```
data_AcNd3DyY
_chemical_formula_sum 'Ac2 Nd6 Dy2 Y2'
_symmetry_space_group_name_H-M 'P 1'
_symmetry_Int_Tables_number 1
_cell_length_a 5.235
_cell_length_b 8.251
_cell_length_c 11.059
_cell_angle_alpha 116.31
_cell_angle_beta 90.00
_cell_angle_gamma 90.00
loop_
_symmetry_equiv_pos_as_xyz
'x,y,z'
loop_
_atom_site_label
_atom_site_type_symbol
_atom_site_fract_x
_atom_site_fract_y
_atom_site_fract_z
Ac1 Ac 0.250 0.122 0.292
Nd1 Nd 0.750 0.865 0.039
Y1 Y 0.250 0.131 0.628
Nd2 Nd 0.750 0.379 0.206
Nd3 Nd 0.250 0.135 0.961
Dy1 Dy 0.750 0.381 0.877
Y2 Y 0.750 0.869 0.372
Dy2 Dy 0.250 0.619 0.123
Nd4 Nd 0.750 0.376 0.547
Nd5 Nd 0.250 0.621 0.794
Nd6 Nd 0.250 0.624 0.453
Ac2 Ac 0.750 0.878 0.708
```

## YTl3 (PBE)

Data for crystalline YTl3 at its relaxed geometry.

Summary:
Symmetry   R-3m, No. 166

```
data_YTl3
_chemical_formula_sum 'Y1 Tl3'
_symmetry_space_group_name_H-M 'P 1'
_symmetry_Int_Tables_number 1
_cell_length_a 6.300
_cell_length_b 6.300
_cell_length_c 6.300
_cell_angle_alpha 116.74
_cell_angle_beta 116.74
_cell_angle_gamma 116.74
loop_
_symmetry_equiv_pos_as_xyz
'x,y,z'
loop_
_atom_site_label
_atom_site_type_symbol
_atom_site_fract_x
_atom_site_fract_y
_atom_site_fract_z
Tl1 Tl 0.500 0.000 0.500
Tl2 Tl 0.000 0.500 0.500
Y1 Y 0.500 0.500 0.000
Tl3 Tl 0.000 0.000 0.000
```

## Ac2TbTl (PBE)

Data for crystalline Ac2TbTl at its relaxed geometry.

Summary:
Energy above the most stable polymorph in this dataset   60 meV/atom
Symmetry   R3m, No. 160

```
data_Ac2TbTl
_chemical_formula_sum 'Ac2 Tb1 Tl1'
_symmetry_space_group_name_H-M 'P 1'
_symmetry_Int_Tables_number 1
_cell_length_a 3.918
_cell_length_b 3.918
_cell_length_c 11.707
_cell_angle_alpha 80.37
_cell_angle_beta 80.37
_cell_angle_gamma 60.00
loop_
_symmetry_equiv_pos_as_xyz
'x,y,z'
loop_
_atom_site_label
_atom_site_type_symbol
_atom_site_fract_x
_atom_site_fract_y
_atom_site_fract_z
Tl1 Tl 0.667 0.667 0.000
Ac1 Ac 0.080 0.080 0.761
Tb1 Tb 0.500 0.500 0.500
Ac2 Ac 0.254 0.254 0.239
```

## CaSnGe2 (PBE)

Data for crystalline CaSnGe2 at its relaxed geometry.

Summary:
Symmetry   I-42d, No. 122

```
data_CaSnGe2
_chemical_formula_sum 'Ca2 Sn2 Ge4'
_symmetry_space_group_name_H-M 'P 1'
_symmetry_Int_Tables_number 1
_cell_length_a 7.886
_cell_length_b 7.886
_cell_length_c 6.450
_cell_angle_alpha 52.31
_cell_angle_beta 52.31
_cell_angle_gamma 90.00
loop_
_symmetry_equiv_pos_as_xyz
'x,y,z'
loop_
_atom_site_label
_atom_site_type_symbol
_atom_site_fract_x
_atom_site_fract_y
_atom_site_fract_z
Ge1 Ge 0.658 0.125 0.250
Ca1 Ca 0.250 0.750 0.500
Sn1 Sn 0.750 0.250 0.500
Sn2 Sn 0.000 0.000 0.000
Ca2 Ca 0.500 0.500 0.000
Ge2 Ge 0.875 0.908 0.750
Ge3 Ge 0.092 0.625 0.250
Ge4 Ge 0.375 0.342 0.750
```

## TiRuN (PBE)

Data for crystalline TiRuN at its relaxed geometry.

Summary:
Energy above the most stable polymorph in this dataset   164 meV/atom
Formation energy without anion corrections   -0.67 eV per atom
Symmetry   P1, No. 1

```
data_TiRuN
_chemical_formula_sum 'Ti2 Ru2 N2'
_symmetry_space_group_name_H-M 'P 1'
_symmetry_Int_Tables_number 1
_cell_length_a 2.975
_cell_length_b 4.920
_cell_length_c 5.245
_cell_angle_alpha 104.58
_cell_angle_beta 105.23
_cell_angle_gamma 92.72
loop_
_symmetry_equiv_pos_as_xyz
'x,y,z'
loop_
_atom_site_label
_atom_site_type_symbol
_atom_site_fract_x
_atom_site_fract_y
_atom_site_fract_z
Ti1 Ti 0.925 0.272 0.352
Ru1 Ru 0.684 0.524 0.824
N1 N 0.511 0.106 0.551
Ru2 Ru 0.468 0.682 0.303
Ti2 Ti 0.142 0.019 0.807
N2 N 0.719 0.925 0.042
```

## AgBiCl3 (PBE)

Data for crystalline AgBiCl3 at its relaxed geometry.

Summary:
Energy above the most stable polymorph in this dataset   268 meV/atom
Formation energy without anion corrections   -0.30 eV per atom
Symmetry   Pm-3m, No. 221

```
data_AgBiCl3
_chemical_formula_sum 'Ag1 Bi1 Cl3'
_symmetry_space_group_name_H-M 'P 1'
_symmetry_Int_Tables_number 1
_cell_length_a 5.500
_cell_length_b 5.500
_cell_length_c 5.500
_cell_angle_alpha 90.00
_cell_angle_beta 90.00
_cell_angle_gamma 90.00
loop_
_symmetry_equiv_pos_as_xyz
'x,y,z'
loop_
_atom_site_label
_atom_site_type_symbol
_atom_site_fract_x
_atom_site_fract_y
_atom_site_fract_z
Cl1 Cl 0.000 0.500 0.000
Cl2 Cl 0.500 0.000 0.000
Bi1 Bi 0.000 0.000 0.000
Cl3 Cl 0.000 0.000 0.500
Ag1 Ag 0.500 0.500 0.500
```

## AcY2Tl3Se6 (PBE)

Data for crystalline AcY2Tl3Se6 at its relaxed geometry.

Summary:
Formation energy without anion corrections   -1.40 eV per atom
Symmetry   C2/m, No. 12

```
data_AcY2Tl3Se6
_chemical_formula_sum 'Ac1 Y2 Tl3 Se6'
_symmetry_space_group_name_H-M 'P 1'
_symmetry_Int_Tables_number 1
_cell_length_a 7.480
_cell_length_b 7.480
_cell_length_c 8.138
_cell_angle_alpha 98.82
_cell_angle_beta 98.82
_cell_angle_gamma 119.90
loop_
_symmetry_equiv_pos_as_xyz
'x,y,z'
loop_
_atom_site_label
_atom_site_type_symbol
_atom_site_fract_x
_atom_site_fract_y
_atom_site_fract_z
Y1 Y 0.333 0.667 0.000
Se1 Se 0.423 0.070 0.210
Tl1 Tl 0.164 0.836 0.500
Tl2 Tl 0.500 0.500 0.500
Tl3 Tl 0.836 0.164 0.500
Se2 Se 0.284 0.284 0.794
Se3 Se 0.577 0.930 0.790
Se4 Se 0.930 0.577 0.790
Se5 Se 0.716 0.716 0.206
Se6 Se 0.070 0.423 0.210
Y2 Y 0.667 0.333 0.000
Ac1 Ac 0.000 0.000 0.000
```

## Ni2MoRhW (PBE)

Data for crystalline Ni2MoRhW at its relaxed geometry.

Summary:
Symmetry   P4/mmm, No. 123

```
data_Ni2MoRhW
_chemical_formula_sum 'Ni2 Mo1 Rh1 W1'
_symmetry_space_group_name_H-M 'P 1'
_symmetry_Int_Tables_number 1
_cell_length_a 4.360
_cell_length_b 4.585
_cell_length_c 4.360
_cell_angle_alpha 90.00
_cell_angle_beta 90.00
_cell_angle_gamma 90.00
loop_
_symmetry_equiv_pos_as_xyz
'x,y,z'
loop_
_atom_site_label
_atom_site_type_symbol
_atom_site_fract_x
_atom_site_fract_y
_atom_site_fract_z
Ni1 Ni 0.500 0.000 0.000
Ni2 Ni 0.000 0.000 0.500
Rh1 Rh 0.000 0.500 0.000
Mo1 Mo 0.000 0.000 0.000
W1 W 0.500 0.500 0.500
```

## BaReSiGe2 (PBE)

Data for crystalline BaReSiGe2 at its relaxed geometry.

Summary:
Formation energy without anion corrections   2.55 eV per atom
Symmetry   P4/mmm, No. 123

```
data_BaReSiGe2
_chemical_formula_sum 'Ba1 Re1 Si1 Ge2'
_symmetry_space_group_name_H-M 'P 1'
_symmetry_Int_Tables_number 1
_cell_length_a 5.666
_cell_length_b 5.425
_cell_length_c 5.666
_cell_angle_alpha 90.00
_cell_angle_beta 90.00
_cell_angle_gamma 90.00
loop_
_symmetry_equiv_pos_as_xyz
'x,y,z'
loop_
_atom_site_label
_atom_site_type_symbol
_atom_site_fract_x
_atom_site_fract_y
_atom_site_fract_z
Si1 Si 0.500 0.500 0.500
Ba1 Ba 0.000 0.000 0.000
Ge1 Ge 0.000 0.000 0.500
Ge2 Ge 0.500 0.000 0.000
Re1 Re 0.000 0.500 0.000
```

| no. | magnetic moment (μB/atom) | total DFT energy (no corrections) (eV per atom) |
| --- | --- | --- |
| 1 | 0.389 | -6.2790 |
| 2 | 0.000 | -4.8769 |
| 3 | 0.000 | -3.5039 |
| 4 | 0.084 | -3.8491 |
| 5 | 0.000 | -3.9860 |
| 6 | 0.000 | -9.1673 |
| 7 | 0.000 | -2.7519 |
| 8 | 0.000 | -5.1548 |
| 9 | 0.000 | -6.8101 |
| 10 | 0.610 | -3.2545 |